First-principles (GGA-PBE) data for an optimized crystal structure of AsHPd6Pb2, as listed in Alexandria via LeMat-Bulk.

Cell: 5.762 5.769 6.692 Å, 65.62 65.99 60.64°
Atoms (fractional coordinates):
As: 0.000 0.000 0.000
H: 0.500 0.500 0.500
Pd: 0.195 0.695 0.335
Pd: 0.284 0.280 0.752
Pd: 0.304 0.803 0.668
Pd: 0.696 0.197 0.332
Pd: 0.716 0.720 0.248
Pd: 0.805 0.305 0.665
Pb: 0.241 0.243 0.219
Pb: 0.759 0.757 0.781

Computed properties:
- electronic total energy (Ry per atom) = -0.3585